(1)
Here is crystalline SrEr2Ga4 at its relaxed geometry from the Alexandria database. Energies are from PBE.

Computed properties:
As for the crystal system: orthorhombic. The calculated formation energy is -0.53 eV/atom. Its final energy is -26.6 eV/f.u.

abc: 4.1663 4.4108 18.4913
angles: 90.00 90.00 90.00
Closest atoms and distances in Å follow each position.
Space group Immm (No. 71)
Inequivalent atoms, fractional coordinates:
1 Sr 0.0000 0.0000 0.0000 [2 per cell]  12 Ga 3.30-3.58
2 Er 0.0000 0.5000 0.3139 [4 per cell]  7 Ga 2.99-3.10
3 Ga 0.0000 0.0000 0.4299 [4 per cell]  3 Ga 2.58-2.59
4 Ga 0.0000 0.5000 0.1523 [4 per cell]  2 Ga 2.58

(2)
Here is crystalline La6NdHo5 at its relaxed geometry from the Alexandria database. Energies are from PBE.

Computed properties:
As for the crystal system: orthorhombic. Its energy above the most stable polymorph in this dataset is 0 meV/atom. The calculated formation energy is 0.02 eV/atom. Its final energy is -57.0 eV/f.u.

abc: 5.2293 10.0214 15.7177
angles: 90.00 90.00 90.00
Closest atoms and distances in Å follow each position.
Space group Immm (No. 71)
Inequivalent atoms, fractional coordinates:
1 La 0.0000 0.2474 0.0000 [4 per cell]  6 Ho 3.60-3.65, 2 Nd 3.64, 4 La 3.71
2 La 0.0000 0.2513 0.3330 [8 per cell]  7 Ho 3.60-3.63, 1 Nd 3.64, 4 La 3.69-3.71
3 Nd 0.0000 0.0000 0.5000 [2 per cell]  8 La 3.64, 4 Ho 3.71
4 Ho 0.0000 0.0000 0.1672 [4 per cell]  8 La 3.61-3.62, 4 Ho 3.69-3.71
5 Ho 0.0000 0.5000 0.1673 [4 per cell]  8 La 3.60-3.65, 2 Ho 3.69, 2 Nd 3.71
6 Ho 0.0000 0.5000 0.5000 [2 per cell]  8 La 3.60-3.62, 4 Ho 3.71

(3)
Here is crystalline Ce3NdPd12 at its relaxed geometry from the Alexandria database. Energies are from PBE.

Computed properties:
As for the crystal system: tetragonal. The calculated formation energy is -0.82 eV/atom. Its final energy is -98.0 eV/f.u.

abc: 4.1676 4.1676 16.6602
angles: 90.00 90.00 90.00
Closest atoms and distances in Å follow each position.
Space group P4/mmm (No. 123)
Inequivalent atoms, fractional coordinates:
1 Ce 0.0000 0.0000 0.0000 [1 per cell]  12 Pd 2.94-2.95
2 Ce 0.0000 0.0000 0.2503 [2 per cell]  12 Pd 2.90-2.96
3 Nd 0.0000 0.0000 0.5000 [1 per cell]  12 Pd 2.95-2.99
4 Pd 0.0000 0.5000 0.1244 [4 per cell]  8 Pd 2.93-2.95, 4 Ce 2.94-2.96
5 Pd 0.0000 0.5000 0.3710 [4 per cell]  2 Ce 2.90, 8 Pd 2.92-2.99, 2 Nd 2.99
6 Pd 0.5000 0.5000 0.0000 [1 per cell]  8 Pd 2.94, 4 Ce 2.95
7 Pd 0.5000 0.5000 0.2481 [2 per cell]  8 Pd 2.92-2.93, 4 Ce 2.95
8 Pd 0.5000 0.5000 0.5000 [1 per cell]  4 Nd 2.95, 8 Pd 2.99

(4)
Here is crystalline Na2CaTl at its relaxed geometry from the Alexandria database. Energies are from PBE.

Computed properties:
As for the crystal system: tetragonal. Its energy above the most stable polymorph in this dataset is 126 meV/atom. The calculated formation energy is 0.03 eV/atom. Its final energy is -6.9 eV/f.u.

abc: 9.2139 9.2139 6.5732
angles: 90.00 90.00 90.00
Closest atoms and distances in Å follow each position.
Space group I-42d (No. 122)
Inequivalent atoms, fractional coordinates:
1 Na 0.2097 0.2500 0.1250 [8 per cell]  2 Tl 3.12, 2 Na 3.37
2 Ca 0.0000 0.0000 0.5000 [4 per cell]  2 Tl 3.29, 4 Na 3.62
3 Tl 0.0000 0.0000 0.0000 [4 per cell]  4 Na 3.12, 2 Ca 3.29

(5)
Here is crystalline YTmHg3 at its relaxed geometry from the Alexandria database. Energies are from PBE.

Computed properties:
As for the crystal system: orthorhombic. The calculated formation energy is -0.40 eV/atom. Its final energy is -13.8 eV/f.u.

abc: 3.5713 28.8259 4.8645
angles: 90.00 90.00 90.00
Closest atoms and distances in Å follow each position.
Space group Cmcm (No. 63)
Inequivalent atoms, fractional coordinates:
1 Y 0.0000 0.0771 0.2500 [4 per cell]  12 Hg 3.29-3.51, 2 Y 3.57
2 Tm 0.0000 0.2118 0.7500 [4 per cell]  7 Hg 3.06-3.14
3 Hg 0.0000 0.3179 0.7500 [4 per cell]  2 Hg 2.98, 5 Tm 3.06-3.14
4 Hg 0.0000 0.3774 0.2500 [4 per cell]  3 Hg 2.83-2.98, 2 Tm 3.13
5 Hg 0.0000 0.4757 0.2500 [4 per cell]  3 Hg 2.81-2.83

(6)
Here is crystalline ScB2Te2 at its relaxed geometry from the Alexandria database. Energies are from PBE.

Computed properties:
As for the crystal system: tetragonal. Its energy above the most stable polymorph in this dataset is 192 meV/atom. Its final energy is -23.2 eV/f.u. The raw formation energy comes out at 0.55 eV per atom.

abc: 7.1267 7.1267 3.6254
angles: 90.00 90.00 90.00
Closest atoms and distances in Å follow each position.
Space group P4/mbm (No. 127)
Inequivalent atoms, fractional coordinates:
1 Sc 0.0000 0.0000 0.0000 [2 per cell]  4 B 2.58
2 B 0.1967 0.3033 0.0000 [4 per cell]  2 Te 2.27
3 Te 0.1670 0.6670 0.5000 [4 per cell]  2 B 2.27